Material: HgBiSe2Br
Method: DFT, PBE-GGA
State: relaxed

Unit cell a=5.5471 b=5.5471 c=5.7165 alpha=90.00 beta=90.00 gamma=90.00
Last column: nearest neighbours and their distance in Å.
Space group P4/mmm (No. 123)
Symmetry-distinct sites (fractional):
Hg  0.0000  0.0000  0.0000  4 Br 3.92, 8 Se 3.98
Bi  0.5000  0.5000  0.5000  4 Se 2.77, 2 Br 2.86
Se  0.0000  0.5000  0.5000  2 Bi 2.77
Br  0.5000  0.5000  0.0000  2 Bi 2.86

Computed properties:
ΔE to the lowest computed polymorph: 0.491 eV per atom
Formation energy from raw total energies: 17.28 kJ per mole of atoms
Mass density: 6.11 g/cm3